Entry 1:
Material: TmZrCoNi
Method: DFT, PBE
State: optimized geometry

Properties
Calculated total energy in eV/atom: -6.784
Space-group type: F-43m, No. 216
Size of the total moment in μB per cell: 0.48

a b c (Å): 4.6013 4.6013 4.6013
angles (deg): 60.00 60.00 60.00
Closest atoms and distances in Å follow each position.
Fractional coordinates of all 4 atoms:
Tm (0.0000, 0.0000, 0.0000)  4 Co 2.82, 4 Ni 2.82
Zr (0.5000, 0.5000, 0.5000)  4 Ni 2.82, 4 Co 2.82
Co (0.2500, 0.2500, 0.2500)  4 Zr 2.82, 4 Tm 2.82
Ni (0.7500, 0.7500, 0.7500)  4 Zr 2.82, 4 Tm 2.82



Entry 2:
Material: Au2S2Cl
Method: DFT, PBE
State: optimized geometry

Properties
E_form (uncorrected) in eV per atom: 0.17
Space-group type: P4/mbm, No. 127
Size of the total moment in μB per cell: 0.00

a b c (Å): 7.2521 7.2521 4.7255
angles (deg): 90.00 90.00 90.00
Closest atoms and distances in Å follow each position.
Fractional coordinates of all 10 atoms:
Au (0.1411, 0.3589, 0.0000)  2 S 2.40
Au (0.3589, 0.8589, 0.0000)  2 S 2.40
Au (0.6411, 0.1411, 0.0000)  2 S 2.40
Au (0.8589, 0.6411, 0.0000)  2 S 2.40
S (0.1009, 0.3991, 0.5000)  1 S 2.07
S (0.3991, 0.8991, 0.5000)  1 S 2.07
S (0.6009, 0.1009, 0.5000)  1 S 2.07
S (0.8991, 0.6009, 0.5000)  1 S 2.07
Cl (0.0000, 0.0000, 0.0000)  4 Au 2.80
Cl (0.5000, 0.5000, 0.0000)  4 Au 2.80



Entry 3:
Material: TaSeBr2
Method: DFT, PBE
State: optimized geometry

Properties
E_form (uncorrected) in eV per atom: -0.64
Space-group type: Cm, No. 8
Size of the total moment in μB per cell: 0.07

a b c (Å): 5.0729 5.0729 7.7831
angles (deg): 108.48 108.48 38.24
Closest atoms and distances in Å follow each position.
Fractional coordinates of all 4 atoms:
Ta (0.0000, 0.0000, 0.0000)  3 Se 2.56-2.84, 4 Br 2.68
Se (0.7038, 0.7038, 0.0002)  3 Ta 2.56-2.84
Br (0.3637, 0.3637, 0.7255)  2 Ta 2.68
Br (0.5131, 0.5131, 0.2745)  2 Ta 2.68